Entry 1:
# BiSe2S | Alexandria | GGA-PBE | optimized geometry
# * N(E_F): 6.0 states/eV per cell
# * energy relative to the elements, uncorrected: 243.3 meV per atom
# * size of the total moment: 0.000 μB/cell
data_BiSe2S
_symmetry_space_group_name_H-M 'P 1'
_symmetry_Int_Tables_number 1
_symmetry_space_group_name_Hall 'P 1'
_cell_length_a 6.545
_cell_length_b 6.545
_cell_length_c 6.545
_cell_angle_alpha 111.95
_cell_angle_beta 111.95
_cell_angle_gamma 104.63
loop_
_atom_site_label
_atom_site_fract_x
_atom_site_fract_y
_atom_site_fract_z
Bi1 0.000 0.000 0.000
Bi2 0.750 0.250 0.500
Se1 0.148 0.625 0.023
Se2 0.375 0.398 0.523
Se3 0.602 0.125 0.977
Se4 0.875 0.852 0.477
S1 0.250 0.750 0.500
S2 0.500 0.500 0.000

---

Entry 2:
# BiSe2S | Alexandria | GGA-PBE | optimized geometry
# * N(E_F): 1.9 states/eV per cell
# * energy relative to the elements, uncorrected: 359.0 meV per atom
# * size of the total moment: 0.000 μB/cell
data_BiSe2S
_symmetry_space_group_name_H-M 'P 1'
_symmetry_Int_Tables_number 1
_symmetry_space_group_name_Hall 'P 1'
_cell_length_a 9.309
_cell_length_b 9.309
_cell_length_c 9.309
_cell_angle_alpha 22.65
_cell_angle_beta 22.65
_cell_angle_gamma 22.65
loop_
_atom_site_label
_atom_site_fract_x
_atom_site_fract_y
_atom_site_fract_z
Bi1 0.000 0.000 0.000
Se1 0.109 0.109 0.109
Se2 0.891 0.891 0.891
S1 0.500 0.500 0.500

---

Entry 3:
# Sm6BiSe3S2 | Alexandria | GGA-PBE | optimized geometry
# * N(E_F): 5.0 states/eV per cell
# * energy relative to the elements, uncorrected: -1698.1 meV per atom
# * size of the total moment: 0.000 μB/cell
data_Sm6BiSe3S2
_symmetry_space_group_name_H-M 'P 1'
_symmetry_Int_Tables_number 1
_symmetry_space_group_name_Hall 'P 1'
_cell_length_a 9.374
_cell_length_b 9.374
_cell_length_c 8.428
_cell_angle_alpha 103.29
_cell_angle_beta 103.29
_cell_angle_gamma 25.76
loop_
_atom_site_label
_atom_site_fract_x
_atom_site_fract_y
_atom_site_fract_z
Sm1 0.010 0.010 0.271
Sm2 0.325 0.325 0.891
Sm3 0.328 0.328 0.426
Sm4 0.672 0.672 0.574
Sm5 0.675 0.675 0.109
Sm6 0.990 0.990 0.729
Bi1 0.500 0.500 0.000
Se1 0.161 0.161 0.834
Se2 0.500 0.500 0.500
Se3 0.839 0.839 0.166
S1 0.169 0.169 0.339
S2 0.831 0.831 0.661

---

Entry 4:
# Tb4BiSeS2 | Alexandria | GGA-PBE | optimized geometry
# * N(E_F): 2.6 states/eV per cell
# * energy relative to the elements, uncorrected: -1627.9 meV per atom
# * size of the total moment: 0.000 μB/cell
data_Tb4BiSeS2
_symmetry_space_group_name_H-M 'P 1'
_symmetry_Int_Tables_number 1
_symmetry_space_group_name_Hall 'P 1'
_cell_length_a 7.075
_cell_length_b 4.083
_cell_length_c 7.228
_cell_angle_alpha 90.00
_cell_angle_beta 108.98
_cell_angle_gamma 90.00
loop_
_atom_site_label
_atom_site_fract_x
_atom_site_fract_y
_atom_site_fract_z
Tb1 0.229 0.000 0.215
Tb2 0.251 0.500 0.777
Tb3 0.749 0.500 0.223
Tb4 0.771 0.000 0.785
Bi1 0.500 0.500 0.500
Se1 0.000 0.000 0.500
S1 0.000 0.500 0.000
S2 0.500 0.000 0.000

---

Entry 5:
# Bi2TeSeS | Alexandria | GGA-PBE | optimized geometry
# * N(E_F): 5.1 states/eV per cell
# * energy relative to the elements, uncorrected: 526.9 meV per atom
# * size of the total moment: 0.000 μB/cell
data_Bi2TeSeS
_symmetry_space_group_name_H-M 'P 1'
_symmetry_Int_Tables_number 1
_symmetry_space_group_name_Hall 'P 1'
_cell_length_a 5.485
_cell_length_b 5.485
_cell_length_c 5.106
_cell_angle_alpha 90.00
_cell_angle_beta 90.00
_cell_angle_gamma 90.00
loop_
_atom_site_label
_atom_site_fract_x
_atom_site_fract_y
_atom_site_fract_z
Bi1 0.000 0.500 0.000
Bi2 0.500 0.000 0.000
Te1 0.000 0.000 0.500
Se1 0.500 0.500 0.500
S1 0.000 0.000 0.000

---

Entry 6:
# TlBiSeS | Alexandria | GGA-PBE | optimized geometry
# * energy relative to the elements, uncorrected: -416.8 meV per atom
# * size of the total moment: 0.000 μB/cell
data_TlBiSeS
_symmetry_space_group_name_H-M 'P 1'
_symmetry_Int_Tables_number 1
_symmetry_space_group_name_Hall 'P 1'
_cell_length_a 8.154
_cell_length_b 8.154
_cell_length_c 8.154
_cell_angle_alpha 29.73
_cell_angle_beta 29.73
_cell_angle_gamma 29.73
loop_
_atom_site_label
_atom_site_fract_x
_atom_site_fract_y
_atom_site_fract_z
Tl1 0.000 0.000 0.000
Bi1 0.834 0.834 0.834
Se1 0.425 0.425 0.425
S1 0.232 0.232 0.232

---

Entry 7:
# Tm4BiSe2S | Alexandria | GGA-PBE | optimized geometry
# * N(E_F): 3.0 states/eV per cell
# * energy relative to the elements, uncorrected: -1454.2 meV per atom
# * size of the total moment: 0.000 μB/cell
data_Tm4BiSe2S
_symmetry_space_group_name_H-M 'P 1'
_symmetry_Int_Tables_number 1
_symmetry_space_group_name_Hall 'P 1'
_cell_length_a 7.039
_cell_length_b 4.073
_cell_length_c 7.160
_cell_angle_alpha 90.00
_cell_angle_beta 109.21
_cell_angle_gamma 90.00
loop_
_atom_site_label
_atom_site_fract_x
_atom_site_fract_y
_atom_site_fract_z
Tm1 0.241 0.000 0.220
Tm2 0.259 0.500 0.777
Tm3 0.741 0.500 0.223
Tm4 0.759 0.000 0.780
Bi1 0.500 0.500 0.500
Se1 0.000 0.000 0.500
Se2 0.000 0.500 0.000
S1 0.500 0.000 0.000

---

Entry 8:
# Y4BiSeS2 | Alexandria | GGA-PBE | optimized geometry
# * N(E_F): 2.7 states/eV per cell
# * energy relative to the elements, uncorrected: -1626.0 meV per atom
# * size of the total moment: 0.000 μB/cell
data_Y4BiSeS2
_symmetry_space_group_name_H-M 'P 1'
_symmetry_Int_Tables_number 1
_symmetry_space_group_name_Hall 'P 1'
_cell_length_a 7.062
_cell_length_b 4.074
_cell_length_c 7.215
_cell_angle_alpha 90.00
_cell_angle_beta 108.95
_cell_angle_gamma 90.00
loop_
_atom_site_label
_atom_site_fract_x
_atom_site_fract_y
_atom_site_fract_z
Y1 0.229 0.000 0.215
Y2 0.251 0.500 0.777
Y3 0.749 0.500 0.223
Y4 0.771 0.000 0.785
Bi1 0.500 0.500 0.500
Se1 0.000 0.000 0.500
S1 0.000 0.500 0.000
S2 0.500 0.000 0.000

---

Entry 9:
# SiBi2S6 | Alexandria | GGA-PBE | optimized geometry
# * N(E_F): 16.7 states/eV per cell
# * energy relative to the elements, uncorrected: -45.5 meV per atom
# * size of the total moment: 0.036 μB/cell
data_SiBi2S6
_symmetry_space_group_name_H-M 'P 1'
_symmetry_Int_Tables_number 1
_symmetry_space_group_name_Hall 'P 1'
_cell_length_a 6.204
_cell_length_b 6.204
_cell_length_c 11.652
_cell_angle_alpha 90.00
_cell_angle_beta 90.00
_cell_angle_gamma 90.00
loop_
_atom_site_label
_atom_site_fract_x
_atom_site_fract_y
_atom_site_fract_z
Si1 0.000 0.000 0.000
Si2 0.500 0.500 0.500
Bi1 0.000 0.000 0.331
Bi2 0.000 0.000 0.669
Bi3 0.500 0.500 0.169
Bi4 0.500 0.500 0.831
S1 0.180 0.180 0.143
S2 0.180 0.180 0.857
S3 0.238 0.238 0.500
S4 0.262 0.738 0.000
S5 0.320 0.680 0.357
S6 0.320 0.680 0.643
S7 0.680 0.320 0.357
S8 0.680 0.320 0.643
S9 0.738 0.262 0.000
S10 0.762 0.762 0.500
S11 0.820 0.820 0.143
S12 0.820 0.820 0.857

---

Entry 10:
# Si2BiS | Alexandria | GGA-PBE | optimized geometry
# * N(E_F): 1.3 states/eV per cell
# * energy relative to the elements, uncorrected: 414.4 meV per atom
# * size of the total moment: 0.000 μB/cell
data_Si2BiS
_symmetry_space_group_name_H-M 'P 1'
_symmetry_Int_Tables_number 1
_symmetry_space_group_name_Hall 'P 1'
_cell_length_a 8.115
_cell_length_b 8.115
_cell_length_c 8.115
_cell_angle_alpha 142.27
_cell_angle_beta 142.27
_cell_angle_gamma 54.42
loop_
_atom_site_label
_atom_site_fract_x
_atom_site_fract_y
_atom_site_fract_z
Si1 0.037 0.625 0.912
Si2 0.375 0.287 0.412
Si3 0.713 0.125 0.088
Si4 0.875 0.963 0.588
Bi1 0.250 0.750 0.500
Bi2 0.500 0.500 0.000
S1 0.000 0.000 0.000
S2 0.750 0.250 0.500

---

Q: Among the records above, which one has the highest energy relative to the elements, uncorrected?
A: Bi2TeSeS